DFT (PBE) results for an optimized crystal structure of La6Pm8Sc.

Cell: 9.9364 9.9364 18.1653 Å, 90.00 90.00 120.00°
With the nearest neighbours (Å) after each atom.
Space group R-3 (No. 148, hexagonal axes)
One atom of each set of equivalent atoms:
1 La 0.0437 0.4256 0.3408 x18  2 Pm 3.13-3.42, 1 Sc 3.38, 2 La 3.39
2 Pm 0.0000 0.0000 0.4161 x6  1 Pm 3.05, 3 La 3.13
3 Pm 0.0582 0.2418 0.1693 x18  4 La 3.42-3.76, 4 Pm 3.71-3.76, 1 Sc 3.76
4 Sc 0.0000 0.0000 0.0000 x3  6 La 3.38, 6 Pm 3.76

Computed properties:
- DOS at the Fermi energy: 62.753 states/eV per cell
- Energy: -0.1753 hartree per atom
- Calculated volume: 1553.21 Å³/cell

DFT (PBE) results for an optimized crystal structure of La4Pm2Sc.

Cell: 7.1779 8.7400 8.9567 Å, 61.54 89.85 78.05°
With the nearest neighbours (Å) after each atom.
Space group P1 (No. 1)
One atom of each set of equivalent atoms:
1 La 0.0000 0.0000 0.0000 x1  2 Pm 3.22-3.60, 2 La 3.41-3.42, 2 Sc 3.54-3.58
2 La 0.0347 0.8550 0.4288 x1  6 La 3.41-3.73, 3 Pm 3.45-3.73, 1 Sc 3.75
3 La 0.1859 0.2735 0.1387 x1  4 Pm 3.38-3.70, 1 Sc 3.58, 4 La 3.59-3.74
4 La 0.2240 0.1459 0.5848 x1  8 La 3.54-3.89, 3 Pm 3.71-3.80, 1 Sc 3.78
5 La 0.3591 0.5837 0.2722 x1  3 Sc 3.57-3.67, 4 Pm 3.66-3.83, 6 La 3.68-3.85
6 La 0.5509 0.8529 0.4247 x1  2 Sc 3.33-3.68, 4 La 3.48-3.70, 3 Pm 3.55-3.71
7 La 0.7148 0.1540 0.5825 x1  7 La 3.54-3.89, 4 Pm 3.57-3.78, 2 Sc 3.78-3.89
8 La 0.8956 0.4481 0.7125 x1  6 La 3.42-3.80, 5 Pm 3.59-3.83, 1 Sc 3.66
9 Pm 0.0735 0.7169 0.8602 x1  3 La 3.22-3.45, 2 Pm 3.54-3.59
10 Pm 0.3973 0.4428 0.7285 x1  1 Sc 3.35, 7 La 3.59-3.74, 3 Pm 3.59-3.70
11 Pm 0.5789 0.7228 0.8667 x1  2 Sc 3.18-3.55, 2 Pm 3.42-3.54, 1 La 3.55
12 Pm 0.6854 0.2721 0.1413 x1  2 Pm 3.42-3.70, 2 Sc 3.57-3.80, 6 La 3.57-3.68
13 Sc 0.5061 0.0021 0.0048 x1  2 Pm 3.18-3.35, 2 La 3.33-3.54
14 Sc 0.8542 0.5914 0.2550 x1  3 Pm 3.55-3.80, 9 La 3.57-3.97, 1 Sc 3.58

Computed properties:
- DOS at the Fermi energy: 20.492 states/eV per cell
- Energy: -0.1847 hartree per atom
- Calculated volume: 480.26 Å³/cell

DFT (PBE) results for an optimized crystal structure of LaPmSc2.

Cell: 3.4983 3.4983 33.3901 Å, 90.00 90.00 120.00°
With the nearest neighbours (Å) after each atom.
Space group R3m (No. 160, hexagonal axes)
One atom of each set of equivalent atoms:
1 La 0.0000 0.0000 0.0000 x3  6 Sc 3.44, 6 La 3.50
2 Pm 0.0000 0.0000 0.1663 x3  6 Sc 3.43-3.45, 6 Pm 3.50
3 Sc 0.0000 0.0000 0.4167 x3  3 Pm 3.43, 3 La 3.44, 6 Sc 3.50
4 Sc 0.0000 0.0000 0.5834 x3  3 La 3.44, 3 Pm 3.45, 6 Sc 3.50

Computed properties:
- DOS at the Fermi energy: 19.374 states/eV per cell
- Energy: -0.2022 hartree per atom
- Calculated volume: 353.89 Å³/cell

DFT (PBE) results for an optimized crystal structure of La3Pm12Sc.

Cell: 5.1574 5.1574 20.5898 Å, 90.00 90.00 90.00°
With the nearest neighbours (Å) after each atom.
Space group P4/mmm (No. 123)
One atom of each set of equivalent atoms:
1 La 0.0000 0.0000 0.0000 x1  12 Pm 3.65-3.67
2 La 0.0000 0.0000 0.2535 x2  12 Pm 3.65-3.68
3 Pm 0.0000 0.5000 0.1267 x4  8 Pm 3.65-3.69, 4 La 3.67
4 Pm 0.0000 0.5000 0.3811 x4  8 Pm 3.56-3.66, 2 Sc 3.56, 2 La 3.68
5 Pm 0.5000 0.5000 0.0000 x1  4 La 3.65, 8 Pm 3.67
6 Pm 0.5000 0.5000 0.2548 x2  4 La 3.65, 8 Pm 3.66-3.69
7 Pm 0.5000 0.5000 0.5000 x1  8 Pm 3.56, 4 Sc 3.65
8 Sc 0.0000 0.0000 0.5000 x1  12 Pm 3.56-3.65

Computed properties:
- DOS at the Fermi energy: 26.782 states/eV per cell
- Energy: -0.1785 hartree per atom
- Calculated volume: 547.67 Å³/cell